First-principles (PBE) data for a relaxed structure of CuAg2Hg, as listed in the Alexandria database.

## Properties
**Energy of formation**: 13 kJ per mole of atoms
**Volume**: 17.7 Å³/atom

a b c (Å): 5.087 5.087 5.019
angles (deg): 76.80 76.80 34.10
Atoms (fractional coordinates):
Hg (0.763, 0.763, 0.735)
Ag (0.998, 0.998, 0.012)
Ag (0.236, 0.236, 0.255)
Cu (0.502, 0.502, 0.498)

=====

First-principles (PBE) data for a relaxed structure of Cu2AgHg2, as listed in the Alexandria database.

## Properties
**E above lowest polymorph**: 0.2189 eV per atom
**Energy of formation**: 37 kJ per mole of atoms
**Volume**: 19.7 Å³/atom

a b c (Å): 4.035 4.035 6.682
angles (deg): 72.43 72.43 90.00
Atoms (fractional coordinates):
Hg (0.750, 0.250, 0.500)
Hg (0.250, 0.750, 0.500)
Cu (0.596, 0.596, 0.809)
Cu (0.404, 0.404, 0.191)
Ag (0.000, 0.000, 0.000)

=====

First-principles (PBE) data for a relaxed structure of CuAgHg2, as listed in the Alexandria database.

## Properties
**E above lowest polymorph**: 0.0000 eV per atom
**Energy of formation**: 13 kJ per mole of atoms
**Volume**: 20.3 Å³/atom

a b c (Å): 6.577 6.577 6.577
angles (deg): 153.68 139.73 48.75
Atoms (fractional coordinates):
Hg (0.762, 0.262, 0.500)
Hg (0.049, 0.049, 0.000)
Ag (0.441, 0.441, 0.000)
Cu (0.249, 0.749, 0.500)

=====

First-principles (PBE) data for a relaxed structure of CuAgHg2, as listed in the Alexandria database.

## Properties
**E above lowest polymorph**: 0.0451 eV per atom
**Energy of formation**: 17 kJ per mole of atoms
**Volume**: 19.9 Å³/atom

a b c (Å): 9.621 9.621 9.621
angles (deg): 18.64 18.64 18.64
Atoms (fractional coordinates):
Cu (0.754, 0.754, 0.754)
Ag (0.490, 0.490, 0.490)
Hg (0.012, 0.012, 0.012)
Hg (0.244, 0.244, 0.244)

=====

First-principles (PBE) data for a relaxed structure of CuAgHg2, as listed in the Alexandria database.

## Properties
**E above lowest polymorph**: 0.0535 eV per atom
**Energy of formation**: 18 kJ per mole of atoms
**Volume**: 18.9 Å³/atom

a b c (Å): 4.745 4.745 4.745
angles (deg): 60.00 60.00 60.00
Atoms (fractional coordinates):
Hg (0.250, 0.250, 0.250)
Hg (0.750, 0.750, 0.750)
Cu (0.000, 0.000, 0.000)
Ag (0.500, 0.500, 0.500)

=====

First-principles (PBE) data for a relaxed structure of CuAg2Hg, as listed in the Alexandria database.

## Properties
**Energy of formation**: 12 kJ per mole of atoms
**Volume**: 17.6 Å³/atom

a b c (Å): 4.148 4.017 4.224
angles (deg): 90.00 90.00 90.00
Atoms (fractional coordinates):
Cu (0.500, 0.000, 0.500)
Ag (0.500, 0.500, 0.000)
Ag (0.000, 0.000, 0.000)
Hg (0.000, 0.500, 0.500)

=====

First-principles (PBE) data for a relaxed structure of CuAgHg2, as listed in the Alexandria database.

## Properties
**E above lowest polymorph**: 0.0502 eV per atom
**Energy of formation**: 17 kJ per mole of atoms
**Volume**: 19.0 Å³/atom

a b c (Å): 5.306 5.306 5.306
angles (deg): 134.09 134.09 66.95
Atoms (fractional coordinates):
Cu (0.750, 0.250, 0.500)
Ag (0.500, 0.500, 0.000)
Hg (0.000, 0.000, 0.000)
Hg (0.250, 0.750, 0.500)

=====

First-principles (PBE) data for a relaxed structure of CuAg2Hg, as listed in the Alexandria database.

## Properties
**Energy of formation**: 13 kJ per mole of atoms
**Volume**: 18.0 Å³/atom

a b c (Å): 9.525 9.525 9.525
angles (deg): 18.02 18.02 18.02
Atoms (fractional coordinates):
Ag (0.991, 0.991, 0.991)
Ag (0.509, 0.509, 0.509)
Hg (0.750, 0.750, 0.750)
Cu (0.250, 0.250, 0.250)

=====

energy of formation of number 1 (CuAg2Hg)? 13 kJ per mole of atoms